The following is a DFT calculation (PBE) of LaAl3Pd3 after structural relaxation.

Cell lengths 6.7862, 6.7862, 7.7931 Å; angles 64.19, 64.19, 60.00 degrees
Closest atoms and distances in Å follow each position.
Sites, in units of the cell vectors:
Al1 0.9132 0.4422 0.3838  4 Pd 2.55-2.66, 2 Al 2.77
Pd1 0.6878 0.9055 0.2398  4 Al 2.55-2.66, 2 Pd 2.82
Al2 0.5578 0.7392 0.6162  4 Pd 2.55-2.66, 2 Al 2.77
Pd2 0.0945 0.8331 0.7602  4 Al 2.55-2.66, 2 Pd 2.82
La1 0.6579 0.6579 0.0264  6 Pd 2.95-3.24
Al3 0.4422 0.2608 0.3838  4 Pd 2.55-2.66, 2 Al 2.77
Pd3 0.3122 0.0945 0.7602  4 Al 2.55-2.66, 2 Pd 2.82
Pd4 0.8331 0.3122 0.7602  4 Al 2.55-2.66, 2 Pd 2.82
Pd5 0.1669 0.6878 0.2398  4 Al 2.55-2.66, 2 Pd 2.82
La2 0.3421 0.3421 0.9736  6 Pd 2.95-3.24
Al4 0.2608 0.9132 0.3838  4 Pd 2.55-2.66, 2 Al 2.77
Al5 0.7392 0.0868 0.6162  4 Pd 2.55-2.66, 2 Al 2.77
Al6 0.0868 0.5578 0.6162  4 Pd 2.55-2.66, 2 Al 2.77
Pd6 0.9055 0.1669 0.2398  4 Al 2.55-2.66, 2 Pd 2.82

The calculated total energy comes out at -5.21 eV per atom. As for the total magnetic moment: 0.00 μB per formula unit. Its space group is No. 148. The energy above the most stable polymorph in this dataset comes out at 0.000 eV/atom. The calculated volume is 268.67 Å³ per cell.



The following is a DFT calculation (PBE) of La3Al7Pd2 after structural relaxation.

Cell lengths 5.6640, 5.6640, 9.4989 Å; angles 72.65, 72.65, 60.00 degrees
Closest atoms and distances in Å follow each position.
Sites, in units of the cell vectors:
La1 0.0000 0.0000 0.0000  6 Pd 3.27, 12 Al 3.51
Al1 0.9300 0.4185 0.2330  2 Pd 2.60-2.69, 4 Al 2.77-2.90
Al2 0.5815 0.0700 0.7670  2 Pd 2.60-2.69, 4 Al 2.77-2.90
Al3 0.0700 0.5815 0.7670  2 Pd 2.60-2.69, 4 Al 2.77-2.90
Pd1 0.3368 0.3368 0.9897  6 Al 2.60-2.69
Al4 0.4185 0.4185 0.2330  2 Pd 2.60-2.69, 4 Al 2.77-2.90
Al5 0.5815 0.5815 0.7670  2 Pd 2.60-2.69, 4 Al 2.77-2.90
Al6 0.4185 0.9300 0.2330  2 Pd 2.60-2.69, 4 Al 2.77-2.90
Pd2 0.6632 0.6632 0.0103  6 Al 2.60-2.69
La2 0.1451 0.1451 0.5646  12 Al 3.32-3.36, 3 La 3.47
La3 0.8549 0.8549 0.4354  12 Al 3.32-3.36, 3 La 3.47
Al7 0.5000 0.5000 0.5000  6 Al 2.91

The calculated total energy comes out at -4.96 eV per atom. As for the total magnetic moment: 0.00 μB per formula unit. Its space group is No. 166. The calculated volume is 247.77 Å³ per cell.



The following is a DFT calculation (PBE) of LaAlPd6 after structural relaxation.

Cell lengths 4.1541, 4.1541, 7.8663 Å; angles 90.00, 90.00, 90.00 degrees
Closest atoms and distances in Å follow each position.
Sites, in units of the cell vectors:
Pd1 0.0000 0.5000 0.7230  2 Al 2.72, 8 Pd 2.72-3.01, 2 La 3.01
La1 0.0000 0.0000 0.0000  12 Pd 2.94-3.01
Pd2 0.5000 0.5000 0.0000  4 La 2.94, 8 Pd 3.01
Al1 0.0000 0.0000 0.5000  12 Pd 2.72-2.94
Pd3 0.5000 0.0000 0.7230  2 Al 2.72, 8 Pd 2.72-3.01, 2 La 3.01
Pd4 0.0000 0.5000 0.2770  2 Al 2.72, 8 Pd 2.72-3.01, 2 La 3.01
Pd5 0.5000 0.5000 0.5000  8 Pd 2.72, 4 Al 2.94
Pd6 0.5000 0.0000 0.2770  8 Pd 2.72-3.01, 2 Al 2.72, 2 La 3.01

The calculated total energy comes out at -5.66 eV per atom. As for the total magnetic moment: 0.00 μB per formula unit. Its space group is No. 123. The energy above the most stable polymorph in this dataset comes out at 0.000 eV/atom. The calculated volume is 135.75 Å³ per cell.



The following is a DFT calculation (PBE) of La2Al5Pd3 after structural relaxation.

Cell lengths 5.8755, 8.8287, 8.8283 Å; angles 74.02, 70.61, 70.61 degrees
Closest atoms and distances in Å follow each position.
Sites, in units of the cell vectors:
La1 0.8610 0.4154 0.8624  4 Pd 3.20-3.47, 10 Al 3.24-3.47
Pd1 0.8604 0.7429 0.5363  5 Al 2.56-2.62
Pd2 0.1396 0.2571 0.4637  5 Al 2.56-2.62
Al1 0.9044 0.9362 0.2550  3 Pd 2.55-2.58, 2 Al 2.72
Al2 0.5956 0.7450 0.0638  3 Pd 2.55-2.58, 2 Al 2.72
Al3 0.2500 0.5000 0.5000  4 Pd 2.56
Al4 0.0956 0.0638 0.7450  3 Pd 2.55-2.58, 2 Al 2.72
Al5 0.9651 0.7849 0.7851  3 Pd 2.61-2.76, 2 Al 2.72
La2 0.6390 0.1376 0.5846  4 Pd 3.20-3.47, 10 Al 3.24-3.47
Al6 0.0349 0.2151 0.2149  3 Pd 2.61-2.76, 2 Al 2.72
La3 0.3610 0.8624 0.4154  4 Pd 3.20-3.47, 10 Al 3.24-3.47
Al7 0.5349 0.2149 0.2151  3 Pd 2.62-2.76, 2 Al 2.72
Pd3 0.6396 0.4637 0.2571  5 Al 2.56-2.62
La4 0.1390 0.5846 0.1376  4 Pd 3.20-3.47, 10 Al 3.24-3.47
Al8 0.4044 0.2550 0.9362  3 Pd 2.55-2.58, 2 Al 2.72
Pd4 0.7500 0.0002 0.9998  6 Al 2.55-2.76
Pd5 0.3604 0.5363 0.7429  5 Al 2.56-2.62
Al9 0.7500 0.5000 0.5000  4 Pd 2.56
Al10 0.4651 0.7851 0.7849  3 Pd 2.62-2.76, 2 Al 2.72
Pd6 0.2500 0.9998 0.0002  6 Al 2.55-2.76

The calculated total energy comes out at -5.21 eV per atom. As for the total magnetic moment: 0.00 μB per formula unit. Its space group is No. 72. The calculated volume is 400.38 Å³ per cell.



The following is a DFT calculation (PBE) of La3Al2Pd after structural relaxation.

Cell lengths 6.9092, 6.9092, 7.5802 Å; angles 77.98, 77.98, 85.18 degrees
Closest atoms and distances in Å follow each position.
Sites, in units of the cell vectors:
Al1 0.5416 0.0618 0.1380  1 Pd 2.48, 1 Al 2.60
La1 0.3772 0.6228 0.2500  1 Pd 2.76
La2 0.0932 0.2405 0.0236  1 Pd 3.13, 4 Al 3.19-3.45
La3 0.6228 0.3772 0.7500  1 Pd 2.76
Al2 0.0618 0.5416 0.6380  1 Pd 2.48, 1 Al 2.60
Al3 0.9382 0.4584 0.3620  1 Pd 2.48, 1 Al 2.60
Al4 0.4584 0.9382 0.8620  1 Pd 2.48, 1 Al 2.60
La4 0.2405 0.0932 0.5236  1 Pd 3.13, 4 Al 3.19-3.45
Pd1 0.3278 0.6722 0.7500  2 Al 2.48, 1 La 2.76
La5 0.9068 0.7595 0.9764  1 Pd 3.13, 4 Al 3.19-3.45
La6 0.7595 0.9068 0.4764  1 Pd 3.13, 4 Al 3.19-3.45
Pd2 0.6722 0.3278 0.2500  2 Al 2.48, 1 La 2.76

The calculated total energy comes out at -5.00 eV per atom. As for the total magnetic moment: 0.00 μB per formula unit. Its space group is No. 15. The calculated volume is 345.86 Å³ per cell.



The following is a DFT calculation (PBE) of La6AlPd2 after structural relaxation.

Cell lengths 8.9514, 8.9514, 8.9514 Å; angles 105.69, 108.93, 113.91 degrees
Closest atoms and distances in Å follow each position.
Sites, in units of the cell vectors:
La1 0.8138 0.7543 0.5681  1 Pd 2.89
La2 0.4581 0.2860 0.1721  3 Pd 3.07-3.12, 1 Al 3.32
Al1 0.0000 0.5000 0.5000  8 La 3.36-3.46
La3 0.3060 0.6442 0.3382  1 Pd 2.90
La4 0.8138 0.2457 0.0595  1 Pd 2.89
La5 0.1862 0.7543 0.9405  1 Pd 2.89
La6 0.1139 0.2860 0.8279  3 Pd 3.07-3.12, 1 Al 3.32
La7 0.3060 0.9678 0.6618  1 Pd 2.90
Pd1 0.7044 0.0000 0.7044  4 La 2.89-3.07, 1 Al 3.08
Pd2 0.2956 0.0000 0.2956  4 La 2.89-3.07, 1 Al 3.08
Pd3 0.5000 0.6356 0.1356  6 La 2.90-3.12, 1 Pd 2.93
La8 0.1862 0.2457 0.4319  1 Pd 2.89
Al2 0.0000 0.0000 0.0000  2 Pd 3.08, 8 La 3.29-3.32
La9 0.6940 0.0322 0.3382  1 Pd 2.90
La10 0.8861 0.7140 0.1721  3 Pd 3.07-3.12, 1 Al 3.32
La11 0.6940 0.3558 0.6618  1 Pd 2.90
Pd4 0.5000 0.3644 0.8644  6 La 2.90-3.12, 1 Pd 2.93
La12 0.5419 0.7140 0.8279  3 Pd 3.07-3.12, 1 Al 3.32

The calculated total energy comes out at -5.30 eV per atom. As for the total magnetic moment: 0.00 μB per formula unit. Its space group is No. 71. The calculated volume is 549.23 Å³ per cell.



The following is a DFT calculation (PBE) of La2AlPd3 after structural relaxation.

Cell lengths 4.4620, 5.5840, 6.6229 Å; angles 114.93, 109.69, 90.00 degrees
Closest atoms and distances in Å follow each position.
Sites, in units of the cell vectors:
Al1 0.0000 0.5000 0.0000  6 Pd 2.62-2.79
Pd1 0.3769 0.3769 0.7538  2 Al 2.62, 1 Pd 2.75, 2 La 2.87
Pd2 0.6231 0.6231 0.2462  2 Al 2.62, 1 Pd 2.75, 2 La 2.87
Pd3 0.0000 0.0000 0.0000  2 Al 2.79, 4 La 3.01
La1 0.3183 0.8183 0.6365  6 Pd 2.87-3.12
La2 0.6817 0.1817 0.3635  6 Pd 2.87-3.12

The calculated total energy comes out at -5.56 eV per atom. As for the total magnetic moment: 0.00 μB per formula unit. Its space group is No. 71. The energy above the most stable polymorph in this dataset comes out at 0.121 eV/atom. The calculated volume is 138.93 Å³ per cell.



The following is a DFT calculation (PBE) of LaAl12Pd4 after structural relaxation.

Cell lengths 7.6275, 7.6275, 7.6275 Å; angles 109.47, 109.47, 109.47 degrees
Closest atoms and distances in Å follow each position.
Sites, in units of the cell vectors:
Al1 0.5051 0.1604 0.3448  2 Pd 2.48, 1 Al 2.73
Al2 0.6552 0.4949 0.8396  2 Pd 2.48, 1 Al 2.73
Al3 0.8396 0.6552 0.4949  2 Pd 2.48, 1 Al 2.73
Al4 0.1844 0.8396 0.3448  2 Pd 2.48, 1 Al 2.73
Al5 0.8396 0.3448 0.1844  2 Pd 2.48, 1 Al 2.73
Al6 0.3448 0.5051 0.1604  2 Pd 2.48, 1 Al 2.73
Al7 0.6552 0.8156 0.1604  2 Pd 2.48, 1 Al 2.73
Pd1 0.0000 0.5000 0.0000  6 Al 2.48
Al8 0.3448 0.1844 0.8396  2 Pd 2.48, 1 Al 2.73
Al9 0.4949 0.8396 0.6552  2 Pd 2.48, 1 Al 2.73
Pd2 0.0000 0.0000 0.5000  6 Al 2.48
Pd3 0.5000 0.0000 0.0000  6 Al 2.48
La1 0.0000 0.0000 0.0000  12 Al 3.35
Pd4 0.5000 0.5000 0.5000  6 Al 2.48
Al10 0.1604 0.6552 0.8156  2 Pd 2.48, 1 Al 2.73
Al11 0.8156 0.1604 0.6552  2 Pd 2.48, 1 Al 2.73
Al12 0.1604 0.3448 0.5051  2 Pd 2.48, 1 Al 2.73

The calculated total energy comes out at -4.37 eV per atom. As for the total magnetic moment: 0.00 μB per formula unit. Its space group is No. 204. The calculated volume is 341.60 Å³ per cell.



The following is a DFT calculation (PBE) of LaAl2Pd2 after structural relaxation.

Cell lengths 4.4188, 4.4188, 10.2145 Å; angles 90.00, 90.00, 90.00 degrees
Closest atoms and distances in Å follow each position.
Sites, in units of the cell vectors:
Pd1 0.0000 0.5000 0.6296  5 Al 2.53-2.58
Al1 0.5000 0.0000 0.1228  5 Pd 2.53-2.54
Al2 0.0000 0.5000 0.8772  5 Pd 2.53-2.54
La1 0.5000 0.0000 0.7497  8 Pd 3.36-3.38, 8 Al 3.37-3.38
Pd2 0.0000 0.0000 0.0000  4 Al 2.54
La2 0.0000 0.5000 0.2503  8 Pd 3.36-3.38, 8 Al 3.37-3.38
Pd3 0.5000 0.5000 0.0000  4 Al 2.54
Pd4 0.5000 0.0000 0.3704  5 Al 2.53-2.58
Al3 0.5000 0.5000 0.5000  4 Pd 2.58
Al4 0.0000 0.0000 0.5000  4 Pd 2.58

The calculated total energy comes out at -5.43 eV per atom. As for the total magnetic moment: 0.00 μB per formula unit. Its space group is No. 129. The energy above the most stable polymorph in this dataset comes out at 0.000 eV/atom. The calculated volume is 199.45 Å³ per cell.



The following is a DFT calculation (PBE) of La2Al2Pd after structural relaxation.

Cell lengths 4.7500, 5.9220, 9.8443 Å; angles 80.02, 76.04, 66.36 degrees
Closest atoms and distances in Å follow each position.
Sites, in units of the cell vectors:
La1 0.0822 0.7241 0.1115  6 Al 3.22-3.29, 1 La 3.52
La2 0.9178 0.2759 0.8885  6 Al 3.22-3.29, 1 La 3.52
Pd1 0.6416 0.0867 0.6300  4 Al 2.57-2.65
Al1 0.9034 0.7445 0.4488  3 Pd 2.63-2.65, 1 Al 2.75
La3 0.3292 0.6566 0.6849  4 Pd 3.18-3.34, 7 Al 3.28-3.53
Al2 0.0966 0.2555 0.5512  3 Pd 2.63-2.65, 1 Al 2.75
La4 0.6708 0.3434 0.3151  4 Pd 3.18-3.34, 7 Al 3.28-3.53
Pd2 0.3584 0.9133 0.3700  4 Al 2.57-2.65
Al3 0.3798 0.1226 0.1179  1 Pd 2.57, 1 Al 2.71
Al4 0.6202 0.8774 0.8821  1 Pd 2.57, 1 Al 2.71

The calculated total energy comes out at -5.10 eV per atom. As for the total magnetic moment: 0.00 μB per formula unit. Its space group is No. 12. The energy above the most stable polymorph in this dataset comes out at 0.000 eV/atom. The calculated volume is 245.26 Å³ per cell.



The following is a DFT calculation (PBE) of LaAl4Pd6 after structural relaxation.

Cell lengths 6.5774, 6.5774, 6.5774 Å; angles 94.78, 117.28, 117.28 degrees
Closest atoms and distances in Å follow each position.
Sites, in units of the cell vectors:
Al1 0.4036 0.8685 0.8685  4 Pd 2.39-2.58
Pd1 0.0000 0.4666 0.7686  4 Al 2.39-2.58
Al2 0.0000 0.1315 0.5351  4 Pd 2.39-2.58
Pd2 0.6980 0.2314 0.2314  4 Al 2.39-2.58
Al3 0.0000 0.5351 0.1315  4 Pd 2.39-2.58
Pd3 0.5000 0.5000 0.0000  4 Pd 2.81, 4 Al 2.88
Pd4 0.5000 0.0000 0.5000  4 Pd 2.81, 4 Al 2.88
Pd5 0.0000 0.7686 0.4666  4 Al 2.39-2.58
La1 0.0000 0.0000 0.0000  8 Al 3.25-3.55, 8 Pd 3.42-3.54
Pd6 0.3020 0.5334 0.5334  4 Al 2.39-2.58
Al4 0.5964 0.4649 0.4649  4 Pd 2.39-2.58

The calculated total energy comes out at -5.21 eV per atom. As for the total magnetic moment: 0.00 μB per formula unit. Its space group is No. 121. The energy above the most stable polymorph in this dataset comes out at 0.306 eV/atom. The calculated volume is 208.70 Å³ per cell.



The following is a DFT calculation (PBE) of LaAl3Pd after structural relaxation.

Cell lengths 5.5957, 5.5957, 5.5957 Å; angles 90.00, 90.00, 90.00 degrees
Closest atoms and distances in Å follow each position.
Sites, in units of the cell vectors:
Al1 0.0000 0.0000 0.5000  2 La 2.80
Pd1 0.5000 0.5000 0.5000  12 Al 3.96
Al2 0.0000 0.5000 0.0000  2 La 2.80
La1 0.0000 0.0000 0.0000  6 Al 2.80
Al3 0.5000 0.0000 0.0000  2 La 2.80

The calculated total energy comes out at -2.79 eV per atom. As for the total magnetic moment: 0.00 μB per formula unit. Its space group is No. 221. The energy above the most stable polymorph in this dataset comes out at 2.193 eV/atom. The calculated volume is 175.21 Å³ per cell.



no.,energy of formation (meV per atom)
1,-678
2,-679
3,-685
4,-798
5,-420
6,-441
7,-700
8,-217
9,-867
10,-596
11,-570
12,1476